Model one:
MgBeNiBi (PBE-GGA, optimized geometry); crystal system = cubic
1.0
0.000 3.259 3.259
3.259 0.000 3.259
3.259 3.259 0.000
Mg Be Ni Bi
1 1 1 1
direct
0.000 0.000 0.000
0.500 0.500 0.500
0.250 0.250 0.250
0.750 0.750 0.750


Model two:
MgBeNiBi (PBE-GGA, optimized geometry); crystal system = cubic
1.0
0.000 3.242 3.242
3.242 0.000 3.242
3.242 3.242 0.000
Mg Be Ni Bi
1 1 1 1
direct
0.000 0.000 0.000
0.750 0.750 0.750
0.250 0.250 0.250
0.500 0.500 0.500


If we sort the structures by their calculated energies, the order from most to least stable is model two, model one.